(1)
## Pr2TcH6 (PBE)

Data for a relaxed structure of Pr2TcH6.

Cell and atoms, written as POSCAR:
```
Pr2TcH6
1.0
-1.5686 -2.9173 4.0394
-5.0526 -0.1326 1.3199
-2.8054 -4.3265 -0.8363
H Pr Tc
6 2 1
Direct
0.7571 0.2429 0.2429
0.2429 0.7571 0.2429
0.7571 0.7571 0.2429
0.7571 0.2429 0.7571
0.2429 0.7571 0.7571
0.2429 0.2429 0.7571
0.2500 0.2500 0.2500
0.7500 0.7500 0.7500
0.0000 0.0000 0.0000
```

Values from the calculation:
- V: 11.200 A^3/atom
- Calculated total energy: -4.959 eV/atom

---

(2)
## PrTmH4 (PBE)

Data for a relaxed structure of PrTmH4.

Cell and atoms, written as POSCAR:
```
PrTmH4
1.0
3.7052 0.0000 0.0000
0.0000 3.7052 0.0000
0.0000 0.0000 5.3687
H Pr Tm
4 1 1
Direct
0.5000 0.0000 0.2254
0.0000 0.5000 0.2254
0.5000 0.0000 0.7746
0.0000 0.5000 0.7746
0.0000 0.0000 0.5000
0.5000 0.5000 0.0000
```

Values from the calculation:
- V: 12.284 A^3/atom
- Calculated total energy: -4.436 eV/atom

---

(3)
## HPt (PBE)

Data for a relaxed structure of HPt.

Cell and atoms, written as POSCAR:
```
HPt
1.0
0.0000 2.1453 2.1453
2.1453 0.0000 2.1453
2.1453 2.1453 0.0000
H Pt
1 1
Direct
0.0000 0.0000 0.0000
0.2500 0.2500 0.2500
```

Values from the calculation:
- V: 9.873 A^3/atom
- Calculated total energy: -4.589 eV/atom

---

(4)
## HPt (PBE)

Data for a relaxed structure of HPt.

Cell and atoms, written as POSCAR:
```
HPt
1.0
-1.0275 2.5887 -0.3255
-1.5246 -1.9600 1.3027
1.1148 0.7480 2.4302
H Pt
1 1
Direct
0.6667 0.3333 0.7500
0.3333 0.6667 0.2500
```

Values from the calculation:
- V: 9.453 A^3/atom
- Calculated total energy: -4.480 eV/atom

---

(5)
## HPt2 (PBE)

Data for a relaxed structure of HPt2.

Cell and atoms, written as POSCAR:
```
HPt2
1.0
-0.1780 0.1423 5.5962
4.7583 -0.0089 2.9543
1.6060 4.6154 2.7365
H Pt
2 4
Direct
0.2500 0.2500 0.2500
0.5000 0.5000 0.5000
0.3750 0.3750 0.3750
0.8750 0.3750 0.3750
0.3750 0.8750 0.3750
0.3750 0.3750 0.8750
```

Values from the calculation:
- V: 20.706 A^3/atom
- Calculated total energy: -4.395 eV/atom

---

(6)
## RbH8Pt2 (PBE)

Data for a relaxed structure of RbH8Pt2.

Cell and atoms, written as POSCAR:
```
RbH8Pt2
1.0
-4.0655 3.6126 0.7550
-1.1811 -1.9116 2.7867
5.5530 1.3873 3.3051
H Pt Rb
8 2 1
Direct
0.5000 0.3945 0.0000
0.5000 0.6055 0.0000
0.4063 0.0000 0.3122
0.9059 0.0000 0.3122
0.7478 0.5000 0.4956
0.2522 0.5000 0.5044
0.0941 0.0000 0.6878
0.5937 0.0000 0.6878
0.7495 0.0000 0.4989
0.2505 0.0000 0.5011
0.0000 0.5000 0.0000
```

Values from the calculation:
- V: 10.744 A^3/atom
- Calculated total energy: -3.761 eV/atom

---

(7)
## ScHPt3 (PBE)

Data for a relaxed structure of ScHPt3.

Cell and atoms, written as POSCAR:
```
ScHPt3
1.0
5.7583 0.0000 0.0000
-0.0039 5.7583 0.0000
-2.8783 -2.8779 4.0771
H Pt Sc
2 6 2
Direct
0.2323 0.1383 0.9283
0.7319 0.6392 0.9284
0.9816 0.8856 0.4240
0.4816 0.3856 0.4240
0.9814 0.8853 0.9236
0.4813 0.8855 0.9237
0.4814 0.3854 0.9237
0.9813 0.3855 0.9237
0.9815 0.3855 0.4239
0.4815 0.8855 0.4239
```

Values from the calculation:
- V: 13.519 A^3/atom
- Calculated total energy: -6.323 eV/atom

---

(8)
## Sr2TaH6Pt (PBE)

Data for a relaxed structure of Sr2TaH6Pt.

Cell and atoms, written as POSCAR:
```
Sr2TaH6Pt
1.0
0.3137 -3.5245 5.2862
2.3952 1.3387 5.7389
-2.8752 0.7065 5.6302
H Pt Sr Ta
6 1 2 1
Direct
0.2502 0.6935 0.2470
0.6935 0.2470 0.2502
0.7148 0.7151 0.2520
0.2470 0.2502 0.6935
0.7151 0.2520 0.7148
0.2520 0.7148 0.7151
0.0978 0.0978 0.0978
0.2708 0.2708 0.2708
0.7748 0.7748 0.7748
0.4861 0.4861 0.4861
```

Values from the calculation:
- V: 13.607 A^3/atom
- Calculated total energy: -4.399 eV/atom